# 1
V2IrSI, relaxed, DFT PBE; crystal system = tetragonal; raw total energy = -5.463 eV/atom; DOS at the Fermi energy = 6.57 states/eV per cell
1.0
4.9324 0.0000 0.0000
0.0000 4.9324 0.0000
0.0000 0.0000 5.0791
V Ir S I
2 1 1 1
Direct
0.0000 0.5000 0.0000 V
0.5000 0.0000 0.0000 V
0.0000 0.0000 0.0000 Ir
0.5000 0.5000 0.5000 S
0.0000 0.0000 0.5000 I


# 2
SbIr3I, relaxed, DFT PBE; energy relative to the lowest polymorph listed for this composition = 0 meV/atom; crystal system = cubic; raw total energy = -4.737 eV/atom; DOS at the Fermi energy = 7.81 states/eV per cell
1.0
4.9343 0.0000 0.0000
0.0000 4.9343 0.0000
0.0000 0.0000 4.9343
Sb Ir I
1 3 1
Direct
0.0000 0.0000 0.0000 Sb
0.0000 0.0000 0.5000 Ir
0.0000 0.5000 0.0000 Ir
0.5000 0.0000 0.0000 Ir
0.5000 0.5000 0.5000 I


# 3
SbIr2I, relaxed, DFT PBE; energy relative to the lowest polymorph listed for this composition = 0 meV/atom; crystal system = tetragonal; raw total energy = -5.251 eV/atom; DOS at the Fermi energy = 13.92 states/eV per cell
1.0
5.9481 0.0000 0.0000
0.0000 5.9481 0.0000
0.0000 0.0000 11.9355
Sb Ir I
4 8 4
Direct
0.0000 0.0000 0.0000 Sb
0.0000 0.5000 0.2500 Sb
0.5000 0.0000 0.7500 Sb
0.5000 0.5000 0.5000 Sb
0.2497 0.2500 0.1250 Ir
0.2503 0.2500 0.6250 Ir
0.2500 0.7497 0.3750 Ir
0.2500 0.7503 0.8750 Ir
0.7500 0.2503 0.3750 Ir
0.7500 0.2497 0.8750 Ir
0.7503 0.7500 0.1250 Ir
0.7497 0.7500 0.6250 Ir
0.0000 0.0000 0.5000 I
0.0000 0.5000 0.7500 I
0.5000 0.0000 0.2500 I
0.5000 0.5000 0.0000 I


# 4
SbIr2I, relaxed, DFT PBE; energy relative to the lowest polymorph listed for this composition = 207 meV/atom; crystal system = cubic; raw total energy = -5.044 eV/atom; DOS at the Fermi energy = 15.66 states/eV per cell
1.0
6.7530 0.0000 0.0000
0.0000 6.7530 0.0000
0.0000 0.0000 6.7530
Sb Ir I
4 8 4
Direct
0.0000 0.0000 0.0000 Sb
0.0000 0.5000 0.5000 Sb
0.5000 0.0000 0.5000 Sb
0.5000 0.5000 0.0000 Sb
0.2500 0.2500 0.2500 Ir
0.2500 0.2500 0.7500 Ir
0.2500 0.7500 0.2500 Ir
0.2500 0.7500 0.7500 Ir
0.7500 0.2500 0.2500 Ir
0.7500 0.2500 0.7500 Ir
0.7500 0.7500 0.2500 Ir
0.7500 0.7500 0.7500 Ir
0.0000 0.0000 0.5000 I
0.0000 0.5000 0.0000 I
0.5000 0.0000 0.0000 I
0.5000 0.5000 0.5000 I


Repeat the fourth record exactly.
SbIr2I, relaxed, DFT PBE; energy relative to the lowest polymorph listed for this composition = 207 meV/atom; crystal system = cubic; raw total energy = -5.044 eV/atom; DOS at the Fermi energy = 15.66 states/eV per cell
1.0
6.7530 0.0000 0.0000
0.0000 6.7530 0.0000
0.0000 0.0000 6.7530
Sb Ir I
4 8 4
Direct
0.0000 0.0000 0.0000 Sb
0.0000 0.5000 0.5000 Sb
0.5000 0.0000 0.5000 Sb
0.5000 0.5000 0.0000 Sb
0.2500 0.2500 0.2500 Ir
0.2500 0.2500 0.7500 Ir
0.2500 0.7500 0.2500 Ir
0.2500 0.7500 0.7500 Ir
0.7500 0.2500 0.2500 Ir
0.7500 0.2500 0.7500 Ir
0.7500 0.7500 0.2500 Ir
0.7500 0.7500 0.7500 Ir
0.0000 0.0000 0.5000 I
0.0000 0.5000 0.0000 I
0.5000 0.0000 0.0000 I
0.5000 0.5000 0.5000 I